Computed, not measured: crystalline LiScTa2Cl at its relaxed geometry at the PBE-GGA level of DFT.

**Energy relative to the elements, uncorrected**: 1.216 eV per atom
**Symmetry**: No. 123

abc: 4.402 5.132 4.402
angles: 90.00 90.00 90.00
Fractional coordinates of all 5 atoms:
Ta: 0.500 0.000 0.000
Ta: 0.000 0.000 0.500
Sc: 0.000 0.500 0.000
Cl: 0.500 0.500 0.500
Li: 0.000 0.000 0.000

Computed, not measured: crystalline P2RhBr at its relaxed geometry at the PBE-GGA level of DFT.

**Energy relative to the lowest polymorph listed for this composition**: 960.6 meV per atom
**Energy relative to the elements, uncorrected**: 0.758 eV per atom
**Symmetry**: No. 225

abc: 4.497 4.497 4.497
angles: 60.00 60.00 60.00
Fractional coordinates of all 4 atoms:
P: 0.250 0.250 0.250
P: 0.750 0.750 0.750
Br: 0.000 0.000 0.000
Rh: 0.500 0.500 0.500

> What is the formula in the first record?

LiScTa2Cl